# 1
Entry from Alexandria via LeMat-Bulk: Cs2RbPb2 after structural relaxation (PBE-GGA).

Results
calculated density: 4.29 g/cm3
offset from the most stable computed form: 0.0625 eV per atom

a = 6.1048 Å, b = 6.1048 Å, c = 9.0442 Å
α = 70.28°, β = 70.28°, γ = 90.00°
Closest atoms and distances in Å follow each position.
Fractional coordinates of all 5 atoms:
Pb1 0.4112 0.4112 0.1776  1 Pb 2.82
Pb2 0.5888 0.5888 0.8224  1 Pb 2.82
Cs1 0.7500 0.2500 0.5000  4 Pb 3.99, 4 Cs 4.32
Cs2 0.2500 0.7500 0.5000  4 Pb 3.99, 4 Cs 4.32
Rb1 0.0000 0.0000 0.0000  8 Pb 4.54, 8 Cs 5.01


# 2
Entry from Alexandria via LeMat-Bulk: Cs2K2Pd after structural relaxation (PBE-GGA).

Results
calculated density: 2.23 g/cm3
offset from the most stable computed form: 0.1532 eV per atom

a = 5.1609 Å, b = 5.1609 Å, c = 13.1018 Å
α = 78.64°, β = 78.64°, γ = 90.00°
Closest atoms and distances in Å follow each position.
Fractional coordinates of all 5 atoms:
Cs1 0.4255 0.4255 0.1491  1 Cs 3.75, 4 Pd 4.10
Cs2 0.5745 0.5745 0.8509  1 Cs 3.75, 4 Pd 4.10
K1 0.7500 0.2500 0.5000  4 K 3.65
K2 0.2500 0.7500 0.5000  4 K 3.65
Pd1 0.0000 0.0000 0.0000  8 Cs 4.10


# 3
Entry from Alexandria via LeMat-Bulk: LiThZnCo after structural relaxation (PBE-GGA).

Results
calculated density: 8.70 g/cm3
electronic total energy: -4.48 eV/atom

a = 4.6120 Å, b = 4.6120 Å, c = 4.6120 Å
α = 60.00°, β = 60.00°, γ = 60.00°
Closest atoms and distances in Å follow each position.
Fractional coordinates of all 4 atoms:
Zn1 0.2500 0.2500 0.2500  4 Co 2.82, 4 Li 2.82
Co1 0.5000 0.5000 0.5000  4 Zn 2.82, 4 Th 2.82
Th1 0.7500 0.7500 0.7500  4 Co 2.82, 4 Li 2.82
Li1 0.0000 0.0000 0.0000  4 Th 2.82, 4 Zn 2.82


# 4
Entry from Alexandria via LeMat-Bulk: Sr2PuBO6 after structural relaxation (PBE-GGA).

Results
calculated density: 6.64 g/cm3
E_form (uncorrected): -2.4379 eV per atom

a = 5.3744 Å, b = 5.2624 Å, c = 6.1270 Å
α = 115.43°, β = 119.32°, γ = 90.00°
Closest atoms and distances in Å follow each position.
Fractional coordinates of all 10 atoms:
Sr1 0.2290 0.2594 0.5188  7 O 2.50-2.72
Sr2 0.7710 0.7406 0.4812  7 O 2.50-2.72
Pu1 0.0000 0.5000 0.0000  6 O 2.01-2.23
B1 0.5000 0.0000 0.0000  4 O 1.59
O1 0.2787 0.7151 0.4303  1 Pu 2.01
O2 0.2593 0.1781 0.9304  1 B 1.59
O3 0.7407 0.2477 0.0696  1 B 1.59
O4 0.2593 0.7523 0.9304  1 B 1.59
O5 0.7407 0.8219 0.0696  1 B 1.59
O6 0.7213 0.2849 0.5697  1 Pu 2.01


# 5
Entry from Alexandria via LeMat-Bulk: Na2NpGeS5 after structural relaxation (PBE-GGA).

Results
calculated density: 3.88 g/cm3
E_form (uncorrected): -0.8982 eV per atom

a = 3.8951 Å, b = 9.0459 Å, c = 12.8342 Å
α = 90.00°, β = 90.00°, γ = 102.43°
Closest atoms and distances in Å follow each position.
Fractional coordinates of all 18 atoms:
Na1 0.8798 0.7596 0.8351  6 S 2.98-3.19
Na2 0.0943 0.1885 0.6557  5 S 2.87-3.11
Na3 0.1202 0.2404 0.3351  6 S 2.98-3.19
Na4 0.9057 0.8115 0.1557  5 S 2.87-3.11
Np1 0.7836 0.5673 0.5424  5 S 2.50-2.77
Np2 0.2164 0.4327 0.0424  5 S 2.50-2.77
Ge1 0.5648 0.1297 0.9169  4 S 2.15-2.39
Ge2 0.4352 0.8703 0.4169  4 S 2.15-2.39
S1 0.3555 0.7110 0.0072  1 Np 2.50
S2 0.6918 0.3836 0.8923  1 Ge 2.27
S3 0.5012 0.0024 0.7737  1 Ge 2.15
S4 0.2937 0.5875 0.6776  2 Np 2.61
S5 0.9472 0.8944 0.5231  2 Ge 2.39
S6 0.6445 0.2890 0.5072  1 Np 2.50
S7 0.3082 0.6164 0.3923  1 Ge 2.27
S8 0.4988 0.9976 0.2737  1 Ge 2.15
S9 0.7063 0.4125 0.1776  2 Np 2.61
S10 0.0528 0.1056 0.0231  2 Ge 2.39


# 6
Entry from Alexandria via LeMat-Bulk: TlH2Pd8 after structural relaxation (PBE-GGA).

Results
calculated density: 11.00 g/cm3
electronic total energy: -4.56 eV/atom

a = 4.6624 Å, b = 7.4694 Å, c = 7.4694 Å
α = 42.66°, β = 66.74°, γ = 66.74°
Closest atoms and distances in Å follow each position.
Fractional coordinates of all 11 atoms:
Tl1 0.0000 0.0000 0.0000  6 Pd 2.65-2.96
H1 0.6780 0.7956 0.7956  3 Pd 1.79-1.84
H2 0.3220 0.2044 0.2044  3 Pd 1.79-1.84
Pd1 0.3301 0.3619 0.8650  1 H 1.84
Pd2 0.6699 0.1350 0.6381  1 H 1.84
Pd3 0.3017 0.7900 0.7900  1 H 1.79
Pd4 0.6983 0.2100 0.2100  1 H 1.79
Pd5 0.3301 0.8650 0.3619  1 H 1.84
Pd6 0.6699 0.6381 0.1350  1 H 1.84
Pd7 0.8448 0.6068 0.6068  1 H 2.40, 2 Pd 2.68
Pd8 0.1552 0.3932 0.3932  1 H 2.40, 2 Pd 2.68


# 7
Entry from Alexandria via LeMat-Bulk: La2Nd5Tm6 after structural relaxation (PBE-GGA).

Results
calculated density: 7.65 g/cm3
electronic total energy: -4.56 eV/atom

a = 3.6022 Å, b = 11.7241 Å, c = 20.6772 Å
α = 90.00°, β = 90.00°, γ = 90.00°
Closest atoms and distances in Å follow each position.
Fractional coordinates of all 26 atoms:
La1 0.0000 0.3207 0.2721  3 Tm 3.48-3.60, 4 Nd 3.54-3.57, 2 La 3.60
La2 0.0000 0.6793 0.7279  3 Tm 3.48-3.60, 4 Nd 3.54-3.57, 2 La 3.60
La3 0.0000 0.8207 0.2279  3 Tm 3.48-3.60, 4 Nd 3.54-3.57, 2 La 3.60
La4 0.0000 0.1793 0.7721  3 Tm 3.48-3.60, 4 Nd 3.54-3.57, 2 La 3.60
Nd1 0.5000 0.3004 0.4397  7 Tm 3.59-3.98, 3 Nd 3.60-3.74, 2 La 3.91
Nd2 0.5000 0.6996 0.5603  7 Tm 3.59-3.98, 3 Nd 3.60-3.74, 2 La 3.91
Nd3 0.5000 0.8004 0.0603  7 Tm 3.59-3.98, 3 Nd 3.60-3.74, 2 La 3.91
Nd4 0.5000 0.1996 0.9397  7 Tm 3.59-3.98, 3 Nd 3.60-3.74, 2 La 3.91
Nd5 0.5000 0.5794 0.2877  5 Tm 3.32-3.53, 4 La 3.54-3.57, 2 Nd 3.60
Nd6 0.5000 0.4206 0.7123  5 Tm 3.32-3.53, 4 La 3.54-3.57, 2 Nd 3.60
Nd7 0.5000 0.0794 0.2123  5 Tm 3.32-3.53, 4 La 3.54-3.57, 2 Nd 3.60
Nd8 0.5000 0.9206 0.7877  5 Tm 3.32-3.53, 4 La 3.54-3.57, 2 Nd 3.60
Nd9 0.5000 0.5000 0.0000  6 Tm 3.33-3.52, 2 Nd 3.60
Nd10 0.5000 0.0000 0.5000  6 Tm 3.33-3.52, 2 Nd 3.60
Tm1 0.0000 0.0661 0.3587  1 La 3.48, 4 Tm 3.50-3.60, 6 Nd 3.52-3.69
Tm2 0.0000 0.9339 0.6413  1 La 3.48, 4 Tm 3.50-3.60, 6 Nd 3.52-3.69
Tm3 0.0000 0.5661 0.1413  1 La 3.48, 4 Tm 3.50-3.60, 6 Nd 3.52-3.69
Tm4 0.0000 0.4339 0.8587  1 La 3.48, 4 Tm 3.50-3.60, 6 Nd 3.52-3.69
Tm5 0.5000 0.3127 0.1214  2 Nd 3.32-3.33, 6 Tm 3.50-3.60, 2 La 3.60
Tm6 0.5000 0.6873 0.8786  2 Nd 3.32-3.33, 6 Tm 3.50-3.60, 2 La 3.60
Tm7 0.5000 0.8127 0.3786  2 Nd 3.32-3.33, 6 Tm 3.50-3.60, 2 La 3.60
Tm8 0.5000 0.1873 0.6214  2 Nd 3.32-3.33, 6 Tm 3.50-3.60, 2 La 3.60
Tm9 0.0000 0.5677 0.4299  5 Tm 3.31-3.60, 6 Nd 3.45-3.62
Tm10 0.0000 0.4323 0.5701  5 Tm 3.31-3.60, 6 Nd 3.45-3.62
Tm11 0.0000 0.0677 0.0701  5 Tm 3.31-3.60, 6 Nd 3.45-3.62
Tm12 0.0000 0.9323 0.9299  5 Tm 3.31-3.60, 6 Nd 3.45-3.62


# 8
Entry from Alexandria via LeMat-Bulk: HgP2SO after structural relaxation (PBE-GGA).

Results
calculated density: 5.04 g/cm3
E_form (uncorrected): 1.2792 eV per atom
offset from the most stable computed form: 0.7734 eV per atom

a = 5.0164 Å, b = 5.0164 Å, c = 4.0672 Å
α = 90.00°, β = 90.00°, γ = 90.00°
Closest atoms and distances in Å follow each position.
Fractional coordinates of all 5 atoms:
P1 0.0000 0.5000 0.0000  2 Hg 2.51
P2 0.5000 0.0000 0.0000  2 Hg 2.51
S1 0.5000 0.5000 0.5000  8 P 3.23, 4 O 3.55
Hg1 0.0000 0.0000 0.0000  2 O 2.03
O1 0.0000 0.0000 0.5000  2 Hg 2.03


Quick rundown of DOS at the Fermi energy, same order as above: 4.43 3.36 4.33 4.63 17.34 8.93 37.52 3.74 states/eV/cell